{
  "formula": "Tb2InGa3Pd4",
  "functional": "PBE",
  "state": "relaxed",
  "lattice_angstrom": [[-1.7898, 2.0693, -3.0347], [-3.6238, -0.4443, 1.8343], [1.7028, 9.9354, 5.7704]],
  "species": ["Tb", "Tb", "Pd", "Pd", "Pd", "Pd", "In", "Ga", "Ga", "Ga"],
  "fractional_positions": [[0.0000, 0.5000, 0.7565], [0.5000, 0.0000, 0.2435], [0.0000, 0.5000, 0.3433], [0.5000, 0.0000, 0.6567], [0.0000, 0.0000, 0.0000], [0.5000, 0.5000, 0.0000], [0.5000, 0.5000, 0.5000], [0.0000, 0.0000, 0.5000], [0.5000, 0.0000, 0.8700], [0.0000, 0.5000, 0.1300]],
  "formation_energy_kj_per_mol_atoms": -72,
  "energy_ev_per_atom": -4.93,
  "rho_kg_m3": 9142,
  "n_ef_per_ev_cell": 5.5
}